YSeIO2 | PBE | optimized geometry

a b c (Å): 4.255 4.255 7.330
angles (deg): 90.00 90.00 90.00
Fractional coordinates of all 5 atoms:
I (0.000, 0.000, 0.500)
O (0.000, 0.500, 0.000)
O (0.500, 0.000, 0.000)
Se (0.500, 0.500, 0.500)
Y (0.000, 0.000, 0.000)

Space group: P4/mmm, No. 123
N(E_F) in states/eV/cell: 5.96
Uncorrected formation energy in meV/atom: -974.9

YSeIO2 | PBE | optimized geometry

a b c (Å): 4.166 4.166 5.767
angles (deg): 90.00 90.00 90.00
Fractional coordinates of all 5 atoms:
I (0.000, 0.000, 0.500)
Y (0.500, 0.500, 0.500)
O (0.500, 0.000, 0.000)
O (0.000, 0.500, 0.000)
Se (0.000, 0.000, 0.000)

Space group: P4/mmm, No. 123
N(E_F) in states/eV/cell: 2.06
Uncorrected formation energy in meV/atom: -285.1

ZnSeI2O | PBE | optimized geometry

a b c (Å): 5.915 5.915 3.829
angles (deg): 90.00 90.00 90.00
Fractional coordinates of all 5 atoms:
O (0.000, 0.000, 0.500)
Zn (0.500, 0.500, 0.500)
I (0.000, 0.500, 0.000)
I (0.500, 0.000, 0.000)
Se (0.000, 0.000, 0.000)

Space group: P4/mmm, No. 123
N(E_F) in states/eV/cell: 3.72
Uncorrected formation energy in meV/atom: 125.2

ZnSeI2O | PBE | optimized geometry

a b c (Å): 5.813 5.813 3.628
angles (deg): 90.00 90.00 90.00
Fractional coordinates of all 5 atoms:
O (0.000, 0.000, 0.500)
I (0.500, 0.000, 0.000)
I (0.000, 0.500, 0.000)
Se (0.500, 0.500, 0.500)
Zn (0.000, 0.000, 0.000)

Space group: P4/mmm, No. 123
N(E_F) in states/eV/cell: 8.01
Uncorrected formation energy in meV/atom: 134.0

ZrSeI2O | PBE | optimized geometry

a b c (Å): 5.817 5.817 3.784
angles (deg): 90.00 90.00 90.00
Each line ends with the local moment (μB).
Fractional coordinates of all 5 atoms:
Zr (0.500, 0.500, 0.500)  1.17
Se (0.000, 0.000, 0.000)  0.05
I (0.000, 0.500, 0.000)  -0.03
I (0.500, 0.000, 0.000)  -0.03
O (0.000, 0.000, 0.500)  0.02

Space group: P4/mmm, No. 123
N(E_F) in states/eV/cell: 3.99
Uncorrected formation energy in meV/atom: 232.7

ZrSeI2O | PBE | optimized geometry

a b c (Å): 5.921 5.921 4.024
angles (deg): 90.00 90.00 90.00
Each line ends with the local moment (μB).
Fractional coordinates of all 5 atoms:
I (0.000, 0.500, 0.000)  0.11
I (0.500, 0.000, 0.000)  0.11
Zr (0.000, 0.000, 0.000)  0.13
Se (0.500, 0.500, 0.500)  0.93
O (0.000, 0.000, 0.500)  0.00

Space group: P4/mmm, No. 123
N(E_F) in states/eV/cell: 3.17
Uncorrected formation energy in meV/atom: -782.3

SiI2O2 | PBE | optimized geometry

a b c (Å): 3.976 3.976 6.005
angles (deg): 90.00 90.00 90.00
Fractional coordinates of all 5 atoms:
O (0.500, 0.000, 0.000)
O (0.000, 0.500, 0.000)
I (0.000, 0.000, 0.500)
I (0.500, 0.500, 0.500)
Si (0.000, 0.000, 0.000)

Space group: P4/mmm, No. 123
N(E_F) in states/eV/cell: 2.51
Uncorrected formation energy in meV/atom: -61.0

SiI2O2 | PBE | optimized geometry

a b c (Å): 4.093 4.093 8.235
angles (deg): 90.00 90.00 90.00
Each line ends with the local moment (μB).
Fractional coordinates of all 5 atoms:
I (0.000, 0.000, 0.500)  -0.01
I (0.000, 0.000, 0.000)  0.01
Si (0.500, 0.500, 0.500)  0.26
O (0.500, 0.000, 0.000)  0.01
O (0.000, 0.500, 0.000)  0.01

Space group: P4/mmm, No. 123
N(E_F) in states/eV/cell: 2.75
Uncorrected formation energy in meV/atom: 374.8

Q: N(E_F) of number 5 (ZrSeI2O)?
A: 3.99 states/eV/cell

Q: What is the uncorrected formation energy in the eighth record?
A: 374.8 meV/atom